Rb2NdDyS4: relaxed, PBE-GGA.

Its raw formation energy is -1.84 eV/atom.

The structure belongs to space group P2/m (No. 10); the cell edges are 7.196, 4.153 and 8.071 Å and the angles 90.00°, 107.26° and 90.00°. Symmetry generates all atoms from Rb at (0.000, 0.000, 0.000), Rb at (0.500, 0.500, 0.000), Nd at (0.000, 0.500, 0.500), Dy at (0.500, 0.000, 0.500), S at (0.240, 0.000, 0.696) and S at (0.276, 0.500, 0.307).



BaAc3Tl2: relaxed, PBE-GGA.

For the energy above the most stable polymorph in this dataset, the calculation gives 0.40 eV/f.u. The calculation puts the formation energy at -174 meV per atom.

The structure belongs to space group C2/m (No. 12); the cell edges are 18.299, 5.985 and 10.034 Å and the angles 90.00°, 116.07° and 90.00°. Symmetry generates all atoms from Ba at (0.130, 0.000, 0.196), Ac at (0.065, 0.000, 0.715), Ac at (0.120, 0.500, 0.523), Ac at (0.187, 0.500, 0.996), Tl at (0.014, 0.500, 0.162) and Tl at (0.227, 0.000, 0.612).



Li2TiOsO6: relaxed, PBE-GGA.

Its raw formation energy is -1.84 eV/atom.

The structure belongs to space group P4mm (No. 99); the cell edges are 5.511, 5.511 and 3.822 Å and the angles 90.00°, 90.00° and 90.00°. Symmetry generates all atoms from Li at (0.000, 0.500, 0.000), Ti at (0.000, 0.000, 0.740), Os at (0.500, 0.500, 0.785), O at (0.000, 0.000, 0.276), O at (0.254, 0.254, 0.795) and O at (0.500, 0.500, 0.289).



TaMnAl2: relaxed, PBE-GGA.

For the energy above the most stable polymorph in this dataset, the calculation gives 1.33 eV/f.u. The calculation puts the formation energy at 116 meV per atom.

The structure belongs to space group Fm-3m (No. 225); the cell edges are 6.172, 6.172 and 6.172 Å and the angles 90.00°, 90.00° and 90.00°. Symmetry generates all atoms from Ta at (0.000, 0.000, 0.000), Mn at (0.000, 0.000, 0.500) and Al at (0.250, 0.250, 0.250).



Co2TeW: relaxed, PBE-GGA.

Its raw formation energy is 0.48 eV/atom.

The structure belongs to space group Imm2 (No. 44); the cell edges are 3.497, 3.999 and 8.222 Å and the angles 90.00°, 90.00° and 90.00°. Symmetry generates all atoms from Co at (0.000, 0.000, 0.000), Co at (0.000, 0.500, 0.256), Te at (0.000, 0.500, 0.727) and W at (0.000, 0.000, 0.481).



Pm2Y4TmSc: relaxed, PBE-GGA.

The calculation puts the formation energy at 37 meV per atom.

The structure belongs to space group P4/mmm (No. 123); the cell edges are 5.025, 5.025 and 9.968 Å and the angles 90.00°, 90.00° and 90.00°. Symmetry generates all atoms from Pm at (0.000, 0.000, 0.000), Pm at (0.500, 0.500, 0.500), Y at (0.000, 0.500, 0.246), Tm at (0.000, 0.000, 0.500) and Sc at (0.500, 0.500, 0.000).



ZnIrBr: relaxed, PBE-GGA.

For the energy above the most stable polymorph in this dataset, the calculation gives 0.31 eV/f.u. Its raw formation energy is 0.46 eV/atom.

The structure belongs to space group P3m1 (No. 156); the cell edges are 3.1806, 3.1806 and 6.0667 Å and the angles 90.00°, 90.00° and 120.00°. Symmetry generates all atoms from Zn at (0.0000, 0.0000, 0.0000), Ir at (0.3333, 0.6667, 0.7059) and Br at (0.6667, 0.3333, 0.3442).